VASP calculation (PBE-GGA) on an optimized crystal structure of NpAgAuO5.

formation energy from raw total energies = -10.2 eV per formula unit
space-group type = C2/c (15)
N(E_F) = 4.24 states/eV/f.u.

Cell: 6.552 6.552 7.423 Å, 101.28 101.28 115.26°
Element x y z (fractional)
Np1 0.000 0.500 0.000
Np2 0.500 0.000 0.500
Ag1 0.037 0.963 0.750
Ag2 0.963 0.037 0.250
Au1 0.471 0.529 0.250
Au2 0.529 0.471 0.750
O1 0.152 0.253 0.088
O2 0.199 0.801 0.250
O3 0.224 0.621 0.886
O4 0.253 0.152 0.588
O5 0.379 0.776 0.614
O6 0.621 0.224 0.386
O7 0.747 0.848 0.412
O8 0.776 0.379 0.114
O9 0.801 0.199 0.750
O10 0.848 0.747 0.912

VASP calculation (PBE-GGA) on an optimized crystal structure of NiIr2Ru.

ΔE_f = 0.35 eV per atom
excess energy over the best structure of this formula in the dataset = 365.2 meV/atom
space-group type = Cmm2 (35)
N(E_F) = 8.08 states/eV/f.u.

Cell: 2.691 4.623 9.057 Å, 90.00 90.00 90.00°
Element x y z (fractional)
Ni1 0.000 0.000 0.000
Ni2 0.500 0.500 0.000
Ir1 0.000 0.000 0.504
Ir2 0.000 0.500 0.242
Ir3 0.500 0.000 0.242
Ir4 0.500 0.500 0.504
Ru1 0.000 0.500 0.761
Ru2 0.500 0.000 0.761

VASP calculation (PBE-GGA) on an optimized crystal structure of Cs2LiSiP2.

formation energy from raw total energies = -2.7 eV per formula unit
space-group type = Ibam (72)
N(E_F) = 2.36 states/eV/f.u.

Cell: 12.439 12.439 12.439 Å, 151.24 40.48 152.12°
Element x y z (fractional)
Cs1 0.144 0.244 0.388
Cs2 0.356 0.744 0.101
Cs3 0.644 0.256 0.899
Cs4 0.856 0.756 0.612
Li1 0.250 0.250 0.000
Li2 0.750 0.750 0.000
Si1 0.250 0.750 0.500
Si2 0.750 0.250 0.500
P1 0.051 0.707 0.758
P2 0.449 0.207 0.657
P3 0.551 0.793 0.343
P4 0.949 0.293 0.242

VASP calculation (PBE-GGA) on an optimized crystal structure of Tl2As.

ΔE_f = 0.08 eV per atom
excess energy over the best structure of this formula in the dataset = 57.2 meV/atom
space-group type = Immm (71)
N(E_F) = 0.96 states/eV/f.u.

Cell: 3.343 3.944 13.142 Å, 90.00 90.00 90.00°
Element x y z (fractional)
Tl1 0.000 0.000 0.142
Tl2 0.000 0.000 0.858
Tl3 0.500 0.500 0.358
Tl4 0.500 0.500 0.642
As1 0.000 0.000 0.500
As2 0.500 0.500 0.000

VASP calculation (PBE-GGA) on an optimized crystal structure of B2N.

formation energy from raw total energies = -1.2 eV per formula unit
excess energy over the best structure of this formula in the dataset = 217.5 meV/atom
space-group type = P1 (1)

Cell: 3.205 3.904 3.981 Å, 73.63 78.95 89.15°
Element x y z (fractional)
B1 0.000 0.000 0.000
B2 0.138 0.337 0.363
B3 0.312 0.608 0.639
B4 0.847 0.732 0.423
N1 0.051 0.966 0.631
N2 0.197 0.329 0.000

VASP calculation (PBE-GGA) on an optimized crystal structure of Rb2TaIrI6.

formation energy from raw total energies = -3.3 eV per formula unit
space-group type = I4/mmm (139)
N(E_F) = 12.22 states/eV/f.u.

Cell: 8.064 8.064 8.064 Å, 120.09 120.09 89.84°
Element x y z (fractional)
Rb1 0.250 0.750 0.500
Rb2 0.750 0.250 0.500
Ta1 0.000 0.000 0.000
Ir1 0.500 0.500 0.000
I1 0.252 0.252 0.000
I2 0.252 0.252 0.505
I3 0.252 0.748 0.000
I4 0.748 0.252 0.000
I5 0.748 0.748 0.000
I6 0.748 0.748 0.495

VASP calculation (PBE-GGA) on an optimized crystal structure of KTe2Cl.

formation energy from raw total energies = -0.4 eV per formula unit
excess energy over the best structure of this formula in the dataset = 761.3 meV/atom
space-group type = R-3m (166)
N(E_F) = 2.93 states/eV/f.u.

Cell: 3.771 3.771 32.183 Å, 90.00 90.00 120.00°
Element x y z (fractional)
K1 0.000 0.000 0.000
K2 0.333 0.667 0.667
K3 0.667 0.333 0.333
Te1 0.000 0.000 0.418
Te2 0.000 0.000 0.582
Te3 0.333 0.667 0.085
Te4 0.333 0.667 0.248
Te5 0.667 0.333 0.752
Te6 0.667 0.333 0.915
Cl1 0.000 0.000 0.500
Cl2 0.333 0.667 0.167
Cl3 0.667 0.333 0.833

VASP calculation (PBE-GGA) on an optimized crystal structure of BaSc2Ti.

ΔE_f = 1.11 eV per atom
excess energy over the best structure of this formula in the dataset = 710.9 meV/atom
space-group type = I4_1/amd (141)
N(E_F) = 6.61 states/eV/f.u.

Cell: 7.395 7.395 10.427 Å, 90.00 90.00 90.00°
Element x y z (fractional)
Ba1 0.000 0.250 0.375
Ba2 0.000 0.750 0.625
Ba3 0.500 0.250 0.125
Ba4 0.500 0.750 0.875
Sc1 0.000 0.000 0.000
Sc2 0.000 0.500 0.000
Sc3 0.250 0.250 0.750
Sc4 0.250 0.750 0.250
Sc5 0.500 0.000 0.500
Sc6 0.500 0.500 0.500
Sc7 0.750 0.250 0.750
Sc8 0.750 0.750 0.250
Ti1 0.000 0.250 0.875
Ti2 0.000 0.750 0.125
Ti3 0.500 0.250 0.625
Ti4 0.500 0.750 0.375

no.,calculated volume (Å³ per cell)
1,268
2,113
3,432
4,173
5,47
6,370
7,396
8,570